! GGA-PBE ZnMoW2, optimized geometry; values from VASP
! Calculated total energy ... -9.174 eV/atom
! Formation energy from the elements ... 0.33 eV/atom
! Mass density ... 14.0 g cm⁻³
! Density of states at the Fermi level ... 0.490 states/eV per atom
&SYSTEM
  ibrav = 0, nat = 4, ntyp = 3
/
ATOMIC_SPECIES
Zn 65.41 Zn.upf
Mo 95.94 Mo.upf
W 183.84 W.upf
ATOMIC_POSITIONS crystal
Zn 0.000 0.000 0.000
Mo 0.500 0.500 0.000
W 0.000 0.500 0.500
W 0.500 0.000 0.500
CELL_PARAMETERS angstrom
2.748 -4.233 0.000
2.748 4.233 0.000
0.000 0.000 2.706

=====

! GGA-PBE Na4HgCl2, optimized geometry; values from VASP
! Calculated total energy ... -2.020 eV/atom
! Mass density ... 2.5 g cm⁻³
! Density of states at the Fermi level ... 0.570 states/eV per atom
&SYSTEM
  ibrav = 0, nat = 7, ntyp = 3
/
ATOMIC_SPECIES
Na 22.99 Na.upf
Hg 200.59 Hg.upf
Cl 35.45 Cl.upf
ATOMIC_POSITIONS crystal
Na 0.000 0.500 0.500
Na 0.209 0.209 0.000
Na 0.500 0.000 0.500
Na 0.791 0.791 0.000
Hg 0.000 0.000 0.000
Cl 0.384 0.384 0.000
Cl 0.616 0.616 0.000
CELL_PARAMETERS angstrom
-2.873 2.873 7.394
2.873 -2.873 7.394
2.873 2.873 -7.394

=====

! GGA-PBE Pm12PrSm3, optimized geometry; values from VASP
! Calculated total energy ... -4.734 eV/atom
! Formation energy from the elements ... 0.01 eV/atom
! Mass density ... 7.1 g cm⁻³
! Density of states at the Fermi level ... 1.497 states/eV per atom
&SYSTEM
  ibrav = 0, nat = 16, ntyp = 3
/
ATOMIC_SPECIES
Pm 145.00 Pm.upf
Pr 140.91 Pr.upf
Sm 150.36 Sm.upf
ATOMIC_POSITIONS crystal
Pm 0.000 0.000 0.000
Pm 0.000 0.000 0.249
Pm 0.000 0.000 0.500
Pm 0.000 0.000 0.751
Pm 0.000 0.500 0.125
Pm 0.000 0.500 0.374
Pm 0.000 0.500 0.626
Pm 0.000 0.500 0.875
Pm 0.500 0.000 0.125
Pm 0.500 0.000 0.374
Pm 0.500 0.000 0.626
Pm 0.500 0.000 0.875
Pr 0.500 0.500 0.500
Sm 0.500 0.500 0.000
Sm 0.500 0.500 0.249
Sm 0.500 0.500 0.751
CELL_PARAMETERS angstrom
5.159 0.000 0.000
0.000 5.159 0.000
0.000 0.000 20.639

=====

! GGA-PBE V2Pd6Pt, optimized geometry; values from VASP
! Calculated total energy ... -6.352 eV/atom
! Formation energy from the elements ... -0.19 eV/atom
! Mass density ... 11.4 g cm⁻³
! Density of states at the Fermi level ... 0.929 states/eV per atom
! E above lowest polymorph ... 64 meV per atom
&SYSTEM
  ibrav = 0, nat = 18, ntyp = 3
/
ATOMIC_SPECIES
V 50.94 V.upf
Pd 106.42 Pd.upf
Pt 195.08 Pt.upf
ATOMIC_POSITIONS crystal
V 0.074 0.291 0.193
V 0.291 0.074 0.693
V 0.709 0.926 0.307
V 0.926 0.709 0.807
Pd 0.028 0.267 0.512
Pd 0.036 0.313 0.862
Pd 0.267 0.028 0.012
Pd 0.313 0.036 0.362
Pd 0.371 0.603 0.407
Pd 0.397 0.629 0.093
Pd 0.603 0.371 0.907
Pd 0.629 0.397 0.593
Pd 0.687 0.964 0.638
Pd 0.733 0.972 0.988
Pd 0.964 0.687 0.138
Pd 0.972 0.733 0.488
Pt 0.333 0.667 0.750
Pt 0.667 0.333 0.250
CELL_PARAMETERS angstrom
3.661 -4.579 0.000
3.661 4.579 0.000
-1.759 0.000 8.093